(1)
{"formula": "CdSb", "functional": "PBE", "state": "optimized geometry", "lattice": [[8.3898, 0.0000, 0.0000], [0.0000, 4.0438, 0.0000], [0.0000, 0.0000, 6.4555]], "species": ["Cd", "Cd", "Cd", "Cd", "Sb", "Sb", "Sb", "Sb"], "frac_coords": [[0.1292, 0.2500, 0.1152], [0.3708, 0.7500, 0.6152], [0.6292, 0.2500, 0.3848], [0.8708, 0.7500, 0.8848], [0.0956, 0.2500, 0.6338], [0.4044, 0.7500, 0.1338], [0.5956, 0.2500, 0.8662], [0.9044, 0.7500, 0.3662]], "spacegroup": "Pnma", "e_form_raw_kj_per_mol_atoms": 9, "total_magnetization_mub_per_atom": 0.00, "e_above_lowest_polymorph_kj_per_mol_fu": 27.5}



(2)
{"formula": "Cd3Sb", "functional": "PBE", "state": "optimized geometry", "lattice": [[5.3481, 3.0877, 1.0108], [-5.3481, 3.0877, 1.0108], [0.0000, -6.1754, 1.0108]], "species": ["Cd", "Cd", "Cd", "Sb"], "frac_coords": [[0.0000, 0.5000, 0.5000], [0.5000, 0.0000, 0.5000], [0.5000, 0.5000, 0.0000], [0.0000, 0.0000, 0.0000]], "spacegroup": "R-3m", "e_form_raw_kj_per_mol_atoms": 10, "total_magnetization_mub_per_atom": 0.00, "e_above_lowest_polymorph_kj_per_mol_fu": 21.4}



(3)
{"formula": "CdSb", "functional": "PBE", "state": "optimized geometry", "lattice": [[2.0652, -2.4417, 0.0000], [2.0652, 2.4417, 0.0000], [0.0000, 0.0000, 10.1749]], "species": ["Cd", "Cd", "Sb", "Sb"], "frac_coords": [[0.2500, 0.7500, 0.8858], [0.7500, 0.2500, 0.1142], [0.2500, 0.7500, 0.3569], [0.7500, 0.2500, 0.6431]], "spacegroup": "Cmme", "e_form_raw_kj_per_mol_atoms": 15, "total_magnetization_mub_per_atom": 0.00, "e_above_lowest_polymorph_kj_per_mol_fu": 38.3}



(4)
{"formula": "CdSb", "functional": "PBE", "state": "optimized geometry", "lattice": [[2.0790, -2.6447, 0.0000], [2.0790, 2.6447, 0.0000], [0.0000, 0.0000, 4.7342]], "species": ["Cd", "Sb"], "frac_coords": [[0.0000, 0.0000, 0.0000], [0.5000, 0.5000, 0.5000]], "spacegroup": "Cmmm", "e_form_raw_kj_per_mol_atoms": 13, "total_magnetization_mub_per_atom": 0.00, "e_above_lowest_polymorph_kj_per_mol_fu": 35.0}



(5)
{"formula": "CdSb3", "functional": "PBE", "state": "optimized geometry", "lattice": [[3.1207, 0.0000, 0.0000], [0.0000, 4.3558, 0.0000], [-1.0060, 0.0000, 8.4911]], "species": ["Cd", "Sb", "Sb", "Sb"], "frac_coords": [[0.0000, 0.0000, 0.0000], [0.0000, 0.0000, 0.5000], [0.0918, 0.5000, 0.7567], [0.9082, 0.5000, 0.2433]], "spacegroup": "P2/m", "e_form_raw_kj_per_mol_atoms": 6, "total_magnetization_mub_per_atom": 0.00, "e_above_lowest_polymorph_kj_per_mol_fu": 1.7}



(6)
{"formula": "Cd2Sb3", "functional": "PBE", "state": "optimized geometry", "lattice": [[4.2503, 2.4539, 4.3916], [-4.2503, 2.4539, 4.3916], [0.0000, -4.9078, 4.3916]], "species": ["Cd", "Cd", "Cd", "Cd", "Sb", "Sb", "Sb", "Sb", "Sb", "Sb"], "frac_coords": [[0.1236, 0.1236, 0.1236], [0.3764, 0.3764, 0.3764], [0.6236, 0.6236, 0.6236], [0.8764, 0.8764, 0.8764], [0.0635, 0.7500, 0.4365], [0.2500, 0.5635, 0.9365], [0.4365, 0.0635, 0.7500], [0.5635, 0.9365, 0.2500], [0.7500, 0.4365, 0.0635], [0.9365, 0.2500, 0.5635]], "spacegroup": "R-3c", "e_form_raw_kj_per_mol_atoms": 19, "total_magnetization_mub_per_atom": 0.00}